Below is an optimized crystal structure of Ce3Zn2Ge6, with properties calculated at the PBE level.

Structure (POSCAR):
```
Ce3Zn2Ge6
1.0
-2.555 -3.376 -0.212
0.034 -0.291 4.229
-9.621 10.029 -1.357
Ce Ge Zn
3 6 2
Direct
0.835 0.835 0.670
0.165 0.165 0.330
0.000 0.000 0.000
0.920 0.420 0.840
0.420 0.920 0.840
0.580 0.080 0.160
0.271 0.271 0.541
0.729 0.729 0.459
0.080 0.580 0.160
0.361 0.361 0.723
0.639 0.639 0.277
```

* SG: I4/mmm (139)
* energy of formation: -0.38 eV/atom
* total DFT energy (no corrections): -52.29 eV per cell

=====

Below is an optimized crystal structure of Pm8Ga2Sn, with properties calculated at the PBE level.

Structure (POSCAR):
```
Pm8Ga2Sn
1.0
-0.608 -4.690 -1.477
2.408 -2.597 7.256
-8.263 3.540 0.469
Pm Sn Ga
8 1 2
Direct
0.835 0.754 0.670
0.323 0.056 0.647
0.602 0.456 0.204
0.050 0.739 0.099
0.165 0.246 0.330
0.677 0.944 0.353
0.950 0.261 0.901
0.398 0.544 0.796
0.500 0.000 0.000
0.786 0.335 0.572
0.214 0.665 0.428
```

* SG: C2/m (12)
* energy of formation: -0.34 eV/atom
* total DFT energy (no corrections): -51.77 eV per cell

=====

Below is an optimized crystal structure of TbB4Ru, with properties calculated at the PBE level.

Structure (POSCAR):
```
TbB4Ru
1.0
3.571 0.000 0.000
0.000 5.974 0.000
0.000 0.000 11.555
B Tb Ru
16 4 4
Direct
0.000 0.863 0.030
0.000 0.612 0.953
0.000 0.363 0.470
0.000 0.212 0.815
0.000 0.524 0.809
0.000 0.388 0.047
0.000 0.024 0.691
0.000 0.976 0.309
0.000 0.888 0.453
0.000 0.712 0.685
0.000 0.637 0.530
0.000 0.476 0.191
0.000 0.137 0.970
0.000 0.788 0.185
0.000 0.112 0.547
0.000 0.288 0.315
0.500 0.628 0.350
0.500 0.872 0.850
0.500 0.128 0.150
0.500 0.372 0.650
0.500 0.140 0.408
0.500 0.860 0.592
0.500 0.640 0.092
0.500 0.360 0.908
```

* SG: Pbam (55)
* energy of formation: -0.63 eV/atom
* total DFT energy (no corrections): -177.47 eV per cell

=====

Below is an optimized crystal structure of LiGa2Bi, with properties calculated at the PBE level.

Structure (POSCAR):
```
LiGa2Bi
1.0
-3.363 3.093 -0.507
-1.243 1.375 -4.208
-4.769 -2.060 -1.777
Bi Li Ga
1 1 2
Direct
0.498 0.498 0.507
0.721 0.721 0.837
0.274 0.274 0.177
0.007 0.007 0.979
```

* SG: R3m (160)
* energy of formation: -0.09 eV/atom
* total DFT energy (no corrections): -12.23 eV per cell

=====

Below is an optimized crystal structure of PmNd6Er3, with properties calculated at the PBE level.

Structure (POSCAR):
```
PmNd6Er3
1.0
-6.219 0.699 -1.151
2.112 0.857 -10.892
-1.972 -9.926 4.628
Nd Er Pm
12 6 2
Direct
0.870 0.475 0.057
0.048 0.372 0.291
0.649 0.281 0.719
0.370 0.525 0.943
0.048 0.709 0.628
0.370 0.057 0.475
0.548 0.291 0.372
0.870 0.943 0.525
0.377 0.964 0.036
0.877 0.036 0.964
0.548 0.628 0.709
0.149 0.719 0.281
0.963 0.712 0.943
0.463 0.943 0.712
0.587 0.616 0.384
0.463 0.288 0.057
0.087 0.384 0.616
0.963 0.057 0.288
0.611 0.805 0.195
0.111 0.195 0.805
```

* SG: Cmc2_1 (36)
* energy of formation: 0.14 eV/atom
* E above lowest polymorph: 0.016 eV per atom
* total DFT energy (no corrections): -91.25 eV per cell

=====

Below is an optimized crystal structure of La4CoSe, with properties calculated at the PBE level.

Structure (POSCAR):
```
La4CoSe
1.0
0.000 4.448 4.448
4.448 0.000 4.448
4.448 4.448 0.000
La Co Se
4 1 1
Direct
0.375 0.375 0.375
0.375 0.876 0.375
0.876 0.375 0.375
0.375 0.375 0.876
0.000 0.000 0.000
0.750 0.750 0.750
```

* SG: F-43m (216)
* total DFT energy (no corrections): -27.73 eV per cell

=====

Below is an optimized crystal structure of Zn5Ga2Ni12, with properties calculated at the PBE level.

Structure (POSCAR):
```
Zn5Ga2Ni12
1.0
-4.003 -0.388 5.542
0.248 -5.016 -4.402
4.488 -2.381 3.075
Ni Zn Ga
12 5 2
Direct
0.572 0.755 0.346
0.659 0.690 0.747
0.817 0.245 0.654
0.341 0.310 0.253
0.909 0.817 0.113
0.555 0.110 0.323
0.031 0.690 0.747
0.445 0.890 0.677
0.428 0.245 0.654
0.091 0.183 0.887
0.969 0.310 0.253
0.183 0.755 0.346
0.763 0.526 0.419
0.705 0.411 0.991
0.000 0.000 0.500
0.295 0.589 0.009
0.237 0.474 0.581
0.297 0.000 0.000
0.703 0.000 0.000
```

* SG: C2/m (12)
* energy of formation: -0.11 eV/atom
* total DFT energy (no corrections): -83.94 eV per cell

=====

Below is an optimized crystal structure of Dy2ErCuS5, with properties calculated at the PBE level.

Structure (POSCAR):
```
Dy2ErCuS5
1.0
-3.043 0.994 2.079
-3.037 0.021 -7.961
-2.864 -10.995 1.064
S Cu Dy Er
10 2 4 2
Direct
0.289 0.578 0.677
0.498 0.995 0.779
0.642 0.284 0.501
0.042 0.085 0.065
0.684 0.367 0.845
0.316 0.633 0.345
0.711 0.422 0.177
0.358 0.716 0.001
0.958 0.915 0.565
0.502 0.005 0.279
0.558 0.116 0.956
0.442 0.884 0.456
0.107 0.214 0.685
0.893 0.786 0.185
0.879 0.758 0.808
0.121 0.242 0.308
0.195 0.389 0.010
0.805 0.611 0.510
```

* SG: Cmc2_1 (36)
* total DFT energy (no corrections): -107.90 eV per cell

=====

Below is an optimized crystal structure of La3Nd2Dy6, with properties calculated at the PBE level.

Structure (POSCAR):
```
La3Nd2Dy6
1.0
5.966 0.000 1.787
2.983 5.413 0.893
-1.296 0.000 11.674
Dy Nd La
6 2 3
Direct
0.915 0.667 0.253
0.582 0.333 0.253
0.750 0.000 0.748
0.085 0.333 0.747
0.418 0.667 0.747
0.250 0.000 0.252
0.166 0.668 0.500
0.834 0.332 0.500
0.000 0.000 0.000
0.664 0.672 0.000
0.336 0.328 0.000
```

* SG: C2/m (12)
* energy of formation: 0.19 eV/atom
* total DFT energy (no corrections): -49.89 eV per cell

=====

Below is an optimized crystal structure of Sm3Ga5O12, with properties calculated at the PBE level.

Structure (POSCAR):
```
Sm3Ga5O12
1.0
-2.152 9.868 4.044
-8.211 -3.168 -6.397
1.176 -7.090 8.169
Ga Sm O
20 12 48
Direct
0.375 0.250 0.625
0.500 0.000 0.500
0.875 0.125 0.750
0.750 0.375 0.625
0.375 0.625 0.750
0.000 0.000 0.500
0.125 0.750 0.875
0.000 0.500 0.000
0.500 0.500 0.500
0.125 0.875 0.250
0.500 0.500 0.000
0.000 0.000 0.000
0.000 0.500 0.500
0.500 0.000 0.000
0.250 0.625 0.375
0.625 0.375 0.250
0.750 0.875 0.125
0.625 0.750 0.375
0.250 0.125 0.875
0.875 0.250 0.125
0.250 0.375 0.125
0.750 0.125 0.375
0.250 0.875 0.625
0.375 0.125 0.250
0.125 0.250 0.375
0.875 0.750 0.625
0.625 0.875 0.750
0.750 0.625 0.875
0.375 0.750 0.125
0.625 0.250 0.875
0.125 0.375 0.750
0.875 0.625 0.250
0.297 0.475 0.379
0.703 0.525 0.621
0.525 0.621 0.703
0.678 0.082 0.703
0.379 0.582 0.904
0.582 0.904 0.379
0.096 0.975 0.678
0.822 0.525 0.404
0.203 0.582 0.178
0.582 0.178 0.203
0.918 0.297 0.322
0.404 0.082 0.879
0.904 0.025 0.322
0.975 0.797 0.879
0.082 0.879 0.404
0.879 0.975 0.797
0.404 0.822 0.525
0.879 0.404 0.082
0.178 0.203 0.582
0.121 0.596 0.918
0.621 0.418 0.096
0.975 0.678 0.096
0.082 0.703 0.678
0.797 0.879 0.975
0.203 0.121 0.025
0.096 0.621 0.418
0.297 0.322 0.918
0.678 0.096 0.975
0.475 0.596 0.178
0.322 0.918 0.297
0.525 0.404 0.822
0.822 0.797 0.418
0.596 0.178 0.475
0.904 0.379 0.582
0.025 0.203 0.121
0.025 0.322 0.904
0.418 0.822 0.797
0.703 0.678 0.082
0.797 0.418 0.822
0.178 0.475 0.596
0.121 0.025 0.203
0.621 0.703 0.525
0.596 0.918 0.121
0.322 0.904 0.025
0.475 0.379 0.297
0.418 0.096 0.621
0.918 0.121 0.596
0.379 0.297 0.475
```

* SG: Ia-3d (230)
* total DFT energy (no corrections): -556.34 eV per cell

=====

Below is an optimized crystal structure of TeHSeBr2, with properties calculated at the PBE level.

Structure (POSCAR):
```
TeHSeBr2
1.0
4.136 0.000 0.000
0.000 4.136 0.000
0.000 0.000 8.126
Te H Se Br
1 1 1 2
Direct
0.500 0.500 0.500
0.000 0.000 0.000
0.000 0.000 0.500
0.000 0.500 0.000
0.500 0.000 0.000
```

* SG: P4/mmm (123)
* E above lowest polymorph: 0.000 eV per atom
* total DFT energy (no corrections): -11.20 eV per cell

=====

Below is an optimized crystal structure of Ce2Fe3B12Ir, with properties calculated at the PBE level.

Structure (POSCAR):
```
Ce2Fe3B12Ir
1.0
7.959 1.424 1.010
5.168 6.218 1.010
5.168 3.008 5.534
B Ir Fe Ce
12 1 3 2
Direct
0.940 0.940 0.343
0.343 0.027 0.343
0.940 0.343 0.940
0.060 0.657 0.060
0.657 0.060 0.060
0.060 0.060 0.657
0.343 0.343 0.027
0.027 0.343 0.343
0.657 0.973 0.657
0.657 0.657 0.973
0.343 0.940 0.940
0.973 0.657 0.657
0.000 0.000 0.000
0.000 0.000 0.500
0.000 0.500 0.000
0.500 0.000 0.000
0.638 0.638 0.638
0.362 0.362 0.362
```

* SG: R-3m (166)
* energy of formation: -0.03 eV/atom
* total DFT energy (no corrections): -126.72 eV per cell